Computed, not measured: a crystal of TcAgSN2 relaxed with PBEsol at the meta-GGA SCAN level of DFT.

* total magnetization: 1.6 μB per formula unit
* calculated volume: 74.9 Å³ per cell
* energy relative to the lowest polymorph listed for this composition: 1554.9 meV/atom
* DOS(E_F): 2.06 states/eV/f.u.
* energy relative to the elements, uncorrected: 9.98 eV per formula unit

Unit cell a=3.919 b=3.919 c=4.879 alpha=90.00 beta=90.00 gamma=90.00
Space group P4/mmm (No. 123)
One atom of each set of equivalent atoms:
Tc: 0.000 0.000 0.000 x1
Ag: 0.500 0.500 0.500 x1
S: 0.500 0.500 0.000 x1
N: 0.000 0.500 0.500 x2



Computed, not measured: a crystal of TcAgSN2 relaxed with PBEsol at the meta-GGA SCAN level of DFT.

* total magnetization: 0.1 μB per formula unit
* calculated volume: 71.1 Å³ per cell
* energy relative to the lowest polymorph listed for this composition: 0.0 meV/atom
* DOS(E_F): 1.68 states/eV/f.u.
* energy relative to the elements, uncorrected: 2.21 eV per formula unit

Unit cell a=3.745 b=3.745 c=5.074 alpha=90.00 beta=90.00 gamma=90.00
Space group P4/mmm (No. 123)
One atom of each set of equivalent atoms:
Tc: 0.000 0.000 0.000 x1
Ag: 0.500 0.500 0.500 x1
S: 0.000 0.000 0.500 x1
N: 0.000 0.500 0.000 x2



energy relative to the lowest polymorph listed for this composition of number 1 (TcAgSN2)? 1554.9 meV/atom